[1]
This record from OQMD via LeMat-Bulk describes Gd3Re5N12 after structural relaxation. The functional is PBE.

a = 11.028 Å, b = 11.028 Å, c = 11.028 Å
α = 109.47°, β = 109.47°, γ = 109.47°
Fractional coordinates of all 80 atoms:
Gd (0.250, 0.375, 0.125)
Gd (0.375, 0.750, 0.125)
Gd (0.375, 0.125, 0.250)
Gd (0.875, 0.625, 0.250)
Gd (0.750, 0.125, 0.375)
Gd (0.125, 0.250, 0.375)
Gd (0.875, 0.750, 0.625)
Gd (0.250, 0.875, 0.625)
Gd (0.125, 0.375, 0.750)
Gd (0.625, 0.875, 0.750)
Gd (0.625, 0.250, 0.875)
Gd (0.750, 0.625, 0.875)
N (0.197, 0.115, 0.016)
N (0.319, 0.901, 0.016)
N (0.885, 0.401, 0.082)
N (0.697, 0.681, 0.082)
N (0.615, 0.418, 0.099)
N (0.984, 0.681, 0.099)
N (0.016, 0.197, 0.115)
N (0.599, 0.918, 0.115)
N (0.197, 0.582, 0.181)
N (0.484, 0.599, 0.181)
N (0.115, 0.016, 0.197)
N (0.582, 0.181, 0.197)
N (0.484, 0.385, 0.303)
N (0.319, 0.918, 0.303)
N (0.901, 0.016, 0.319)
N (0.918, 0.303, 0.319)
N (0.303, 0.484, 0.385)
N (0.582, 0.901, 0.385)
N (0.819, 0.516, 0.401)
N (0.082, 0.885, 0.401)
N (0.099, 0.615, 0.418)
N (0.819, 0.803, 0.418)
N (0.599, 0.181, 0.484)
N (0.385, 0.303, 0.484)
N (0.615, 0.697, 0.516)
N (0.401, 0.819, 0.516)
N (0.181, 0.197, 0.582)
N (0.901, 0.385, 0.582)
N (0.918, 0.115, 0.599)
N (0.181, 0.484, 0.599)
N (0.418, 0.099, 0.615)
N (0.697, 0.516, 0.615)
N (0.082, 0.697, 0.681)
N (0.099, 0.984, 0.681)
N (0.681, 0.082, 0.697)
N (0.516, 0.615, 0.697)
N (0.418, 0.819, 0.803)
N (0.885, 0.984, 0.803)
N (0.516, 0.401, 0.819)
N (0.803, 0.418, 0.819)
N (0.401, 0.082, 0.885)
N (0.984, 0.803, 0.885)
N (0.016, 0.319, 0.901)
N (0.385, 0.582, 0.901)
N (0.303, 0.319, 0.918)
N (0.115, 0.599, 0.918)
N (0.681, 0.099, 0.984)
N (0.803, 0.885, 0.984)
Re (0.000, 0.000, 0.000)
Re (0.500, 0.000, 0.000)
Re (0.000, 0.500, 0.000)
Re (0.500, 0.500, 0.000)
Re (0.875, 0.250, 0.125)
Re (0.750, 0.875, 0.125)
Re (0.625, 0.375, 0.250)
Re (0.125, 0.875, 0.250)
Re (0.250, 0.625, 0.375)
Re (0.625, 0.750, 0.375)
Re (0.000, 0.000, 0.500)
Re (0.500, 0.000, 0.500)
Re (0.000, 0.500, 0.500)
Re (0.500, 0.500, 0.500)
Re (0.375, 0.250, 0.625)
Re (0.750, 0.375, 0.625)
Re (0.875, 0.125, 0.750)
Re (0.375, 0.625, 0.750)
Re (0.250, 0.125, 0.875)
Re (0.125, 0.750, 0.875)

***

[2]
This record from OQMD via LeMat-Bulk describes SrMgGePt after structural relaxation. The functional is PBE.

## Properties
Energy above the most stable polymorph in this dataset: 0 meV per atom

a = 4.850 Å, b = 4.850 Å, c = 4.850 Å
α = 60.00°, β = 60.00°, γ = 60.00°
Fractional coordinates of all 4 atoms:
Ge (0.250, 0.250, 0.250)
Mg (0.750, 0.750, 0.750)
Pt (0.500, 0.500, 0.500)
Sr (0.000, 0.000, 0.000)

***

[3]
This record from OQMD via LeMat-Bulk describes LaYHf after structural relaxation. The functional is PBE.

## Properties
Energy above the most stable polymorph in this dataset: 0 meV per atom
Formation enthalpy at 0 K: 813 meV per atom

a = 5.256 Å, b = 5.256 Å, c = 5.256 Å
α = 60.00°, β = 60.00°, γ = 60.00°
Fractional coordinates of all 3 atoms:
Hf (0.000, 0.000, 0.000)
La (0.250, 0.250, 0.250)
Y (0.750, 0.750, 0.750)

***

[4]
This record from OQMD via LeMat-Bulk describes RbUSb after structural relaxation. The functional is PBE.

a = 5.459 Å, b = 5.459 Å, c = 5.459 Å
α = 60.00°, β = 60.00°, γ = 60.00°
Fractional coordinates of all 3 atoms:
Rb (0.250, 0.250, 0.250)
Sb (0.750, 0.750, 0.750)
U (0.000, 0.000, 0.000)

***

The calculation returns the following calculated volume values, one per record and in order: 1033 81 103 115 Å³/cell.
The calculation returns the following total magnetization values, one per record and in order: 0.16 0.00 1.98 4.01 μB per cell.
The calculation returns the following uncorrected energy values, one per record and in order: -9.30 -3.86 -6.30 -4.59 eV/atom.